1.
Entry from Alexandria via LeMat-Bulk: a geometry-optimized Zn3ReTc structure (PBE).

ΔH_f (0 K): 1.5047 eV per atom
Energy relative to the lowest polymorph listed for this composition: 0 meV per atom
Total magnetization: 0.77 μB/atom

a = 4.7530 Å, b = 4.7530 Å, c = 4.7530 Å
α = 90.00°, β = 90.00°, γ = 90.00°
Each line ends with the local moment (μB).
Sites, in units of the cell vectors:
Tc1 0.5000 0.5000 0.5000  3.38
Zn1 0.5000 0.0000 0.0000  -0.01
Zn2 0.0000 0.5000 0.0000  -0.04
Zn3 0.0000 0.0000 0.5000  -0.02
Re1 0.0000 0.0000 0.0000  0.20



2.
Entry from Alexandria via LeMat-Bulk: a geometry-optimized Li3Mg2Cu structure (PBE).

ΔH_f (0 K): -0.0164 eV per atom
Total magnetization: 0.00 μB/atom

a = 2.9987 Å, b = 4.4815 Å, c = 7.9969 Å
α = 90.00°, β = 90.00°, γ = 90.00°
Sites, in units of the cell vectors:
Li1 0.5000 0.5000 0.6578
Li2 0.5000 0.0000 0.8330
Li3 0.5000 0.0000 0.1706
Cu1 0.5000 0.5000 0.3338
Mg1 0.0000 0.5000 0.0311
Mg2 0.0000 0.0000 0.4737



3.
Entry from Alexandria via LeMat-Bulk: a geometry-optimized CeAgPdRh structure (PBE).

ΔH_f (0 K): -0.4333 eV per atom
Energy relative to the lowest polymorph listed for this composition: 142 meV per atom
Total magnetization: 0.10 μB/atom

a = 4.7432 Å, b = 4.7432 Å, c = 4.7432 Å
α = 60.00°, β = 60.00°, γ = 60.00°
Each line ends with the local moment (μB).
Sites, in units of the cell vectors:
Pd1 0.5000 0.5000 0.5000  0.01
Ag1 0.2500 0.2500 0.2500  0.01
Ce1 0.7500 0.7500 0.7500  0.35
Rh1 0.0000 0.0000 0.0000  -0.01



4.
Entry from Alexandria via LeMat-Bulk: a geometry-optimized MgIn2Ir structure (PBE).

ΔH_f (0 K): -0.0878 eV per atom
Total magnetization: 0.00 μB/atom

a = 5.1823 Å, b = 5.1823 Å, c = 5.1823 Å
α = 132.03°, β = 132.01°, γ = 70.20°
Sites, in units of the cell vectors:
Ir1 0.5000 0.5000 0.0000
Mg1 0.2502 0.7502 0.5000
In1 0.7499 0.2499 0.5000
In2 0.0000 0.0000 0.0000



5.
Entry from Alexandria via LeMat-Bulk: a geometry-optimized TbBeIr structure (PBE).

ΔH_f (0 K): -0.6582 eV per atom
Energy relative to the lowest polymorph listed for this composition: 0 meV per atom
Total magnetization: 0.00 μB/atom

a = 4.0147 Å, b = 3.9273 Å, c = 3.9273 Å
α = 120.00°, β = 90.00°, γ = 90.00°
Sites, in units of the cell vectors:
Ir1 0.1668 0.0000 0.0000
Tb1 0.6668 0.3333 0.6667
Be1 0.1665 0.6667 0.3333



6.
Entry from Alexandria via LeMat-Bulk: a geometry-optimized AlGaF2 structure (PBE).

Energy relative to the lowest polymorph listed for this composition: 530 meV per atom
Total magnetization: 0.00 μB/atom

a = 4.4370 Å, b = 4.4370 Å, c = 4.4370 Å
α = 60.00°, β = 60.00°, γ = 60.00°
Sites, in units of the cell vectors:
Al1 0.0000 0.0000 0.0000
F1 0.2500 0.2500 0.2500
F2 0.7500 0.7500 0.7500
Ga1 0.5000 0.5000 0.5000



Asked for DFT total energy across the records above, the calculation gives -19.11, -13.13, -23.06, -16.28, -19.19, -15.33 eV/cell in order.